Compound: LiFe2As2
Source: Alexandria
Functional: GGA-PBE
Structure: optimized geometry Values from VASP.

Computed properties:
- Total DFT energy (no corrections): -5.745 eV per atom
- Symmetry: No. 127

```
&SYSTEM
  ibrav = 0, nat = 10, ntyp = 3
/
ATOMIC_SPECIES
Li 6.94 Li.upf
Fe 55.84 Fe.upf
As 74.92 As.upf
CELL_PARAMETERS angstrom
6.8878 0.0000 0.0000
0.0000 6.8878 0.0000
0.0000 0.0000 2.7650
ATOMIC_POSITIONS angstrom
Li 0.0000 0.0000 0.0000
Li 3.4439 3.4439 0.0000
Fe 0.9556 2.4883 1.3825
Fe 2.4883 5.9322 1.3825
Fe 4.3995 0.9556 1.3825
Fe 5.9322 4.3995 1.3825
As 1.0737 4.5176 0.0000
As 2.3702 1.0737 0.0000
As 4.5176 5.8141 0.0000
As 5.8141 2.3702 0.0000
```